1.
Entry from the Alexandria database: an optimized crystal structure of Ac3SiAg (PBE).

It has space group P2_1/c (No. 14), with a = 9.173 Å, b = 6.283 Å, c = 11.943 Å, α = 90.00°, β = 97.46° and γ = 90.00°. Symmetry generates all atoms from Ac at (0.056, 0.066, 0.152), Ac at (0.299, 0.568, 0.945), Ac at (0.360, 0.034, 0.757), Si at (0.042, 0.565, 0.095) and Ag at (0.373, 0.089, 0.044).

For the excess energy over the best structure of this formula in the dataset, the calculation gives 65.4 meV per atom. The formation energy from raw total energies is -0.226 eV/atom. The value obtained for the density of states at the Fermi level is 0.89 states/eV/atom. The final energy comes out at -4.345 eV per atom. Its crystal system is monoclinic.


2.
Entry from the Alexandria database: an optimized crystal structure of La6Os2Cl3F (PBE).

It has space group C2/m (No. 12), with a = 7.098 Å, b = 12.330 Å, c = 8.013 Å, α = 90.00°, β = 107.20° and γ = 90.00°. Symmetry generates all atoms from La at (0.226, 0.000, 0.204), La at (0.240, 0.329, 0.205), Os at (0.000, 0.166, 0.000), Cl at (0.000, 0.000, 0.500), Cl at (0.000, 0.327, 0.500) and F at (0.000, 0.500, 0.000).

The formation energy from raw total energies is -1.346 eV/atom. The value obtained for the density of states at the Fermi level is 0.27 states/eV/atom. The final energy comes out at -6.299 eV per atom. Its crystal system is monoclinic.


3.
Entry from the Alexandria database: an optimized crystal structure of NaPaSnN3 (PBE).

It has space group P2_1/m (No. 11), with a = 6.399 Å, b = 3.467 Å, c = 8.927 Å, α = 90.00°, β = 96.20° and γ = 90.00°. Symmetry generates all atoms from Na at (0.037, 0.250, 0.322), Pa at (0.474, 0.750, 0.670), Sn at (0.216, 0.250, 0.971), N at (0.140, 0.750, 0.098), N at (0.273, 0.250, 0.730) and N at (0.357, 0.750, 0.427).

The formation energy from raw total energies is -0.489 eV/atom. The value obtained for the density of states at the Fermi level is 0.08 states/eV/atom. The final energy comes out at -7.121 eV per atom. Its crystal system is monoclinic.


4.
Entry from the Alexandria database: an optimized crystal structure of RbSn2GeH (PBE).

It has space group P4/mmm (No. 123), with a = 4.840 Å, b = 4.840 Å, c = 5.107 Å, α = 90.00°, β = 90.00° and γ = 90.00°. Symmetry generates all atoms from Rb at (0.000, 0.000, 0.000), Sn at (0.000, 0.500, 0.500), Ge at (0.500, 0.500, 0.000) and H at (0.000, 0.000, 0.500).

The value obtained for the density of states at the Fermi level is 0.31 states/eV/atom. The final energy comes out at -3.083 eV per atom. Its crystal system is tetragonal.


5.
Entry from the Alexandria database: an optimized crystal structure of ZnSiTe3 (PBE).

It has space group C2/m (No. 12), with a = 13.720 Å, b = 4.067 Å, c = 11.642 Å, α = 90.00°, β = 96.69° and γ = 90.00°. Symmetry generates all atoms from Zn at (0.166, 0.000, 0.376), Si at (0.081, 0.500, 0.761), Te at (0.105, 0.500, 0.232), Te at (0.140, 0.500, 0.562) and Te at (0.148, 0.000, 0.885).

For the excess energy over the best structure of this formula in the dataset, the calculation gives 0.0 meV per atom. The formation energy from raw total energies is -0.107 eV/atom. The value obtained for the density of states at the Fermi level is 0.12 states/eV/atom. The final energy comes out at -3.332 eV per atom. Its crystal system is monoclinic.


6.
Entry from the Alexandria database: an optimized crystal structure of Zr6MnCl14 (PBE).

It has space group Cmce (No. 64), with a = 14.924 Å, b = 13.104 Å, c = 11.999 Å, α = 90.00°, β = 90.00° and γ = 90.00°. Symmetry generates all atoms from Zr at (0.000, 0.148, 0.109), Zr at (0.121, 0.074, 0.879), Mn at (0.000, 0.000, 0.000), Cl at (0.000, 0.160, 0.744), Cl at (0.120, 0.084, 0.246), Cl at (0.121, 0.240, 0.992), Cl at (0.246, 0.000, 0.000) and Cl at (0.250, 0.151, 0.750).

The formation energy from raw total energies is -1.623 eV/atom. The value obtained for the density of states at the Fermi level is 0.26 states/eV/atom. The final energy comes out at -5.733 eV per atom. Its crystal system is orthorhombic.


7.
Entry from the Alexandria database: an optimized crystal structure of Pa8Al (PBE).

It has space group I4/mmm (No. 139), with a = 11.629 Å, b = 11.629 Å, c = 3.213 Å, α = 90.00°, β = 90.00° and γ = 90.00°. Symmetry generates all atoms from Pa at (0.000, 0.331, 0.000), Pa at (0.164, 0.164, 0.500) and Al at (0.000, 0.000, 0.000).

The value obtained for the energy relative to the elements is 3.1 kJ/mol of atoms. For the excess energy over the best structure of this formula in the dataset, the calculation gives 83.7 meV per atom. The value obtained for the density of states at the Fermi level is 2.15 states/eV/atom. The final energy comes out at -8.825 eV per atom. Its crystal system is tetragonal.


8.
Entry from the Alexandria database: an optimized crystal structure of BeSiRu2 (PBE).

It has space group P4/mmm (No. 123), with a = 2.885 Å, b = 2.885 Å, c = 5.665 Å, α = 90.00°, β = 90.00° and γ = 90.00°. Symmetry generates all atoms from Be at (0.000, 0.000, 0.000), Si at (0.000, 0.000, 0.500) and Ru at (0.500, 0.500, 0.246).

For the excess energy over the best structure of this formula in the dataset, the calculation gives 85.5 meV per atom. The formation energy from raw total energies is -0.471 eV/atom. The value obtained for the density of states at the Fermi level is 0.84 states/eV/atom. The final energy comes out at -7.396 eV per atom. Its crystal system is tetragonal.


9.
Entry from the Alexandria database: an optimized crystal structure of Ac4FePt (PBE).

It has space group C2/c (No. 15), with a = 8.826 Å, b = 16.458 Å, c = 7.325 Å, α = 90.00°, β = 126.40° and γ = 90.00°. Symmetry generates all atoms from Ac at (0.222, 0.190, 0.233), Ac at (0.243, 0.053, 0.736), Fe at (0.000, 0.083, 0.250) and Pt at (0.000, 0.421, 0.750).

The value obtained for the energy relative to the elements is -26.9 kJ/mol of atoms. The value obtained for the density of states at the Fermi level is 0.96 states/eV/atom. The final energy comes out at -5.435 eV per atom. Its crystal system is monoclinic.


10.
Entry from the Alexandria database: an optimized crystal structure of CsIn3 (PBE).

It has space group Pmm2 (No. 25), with a = 3.575 Å, b = 4.926 Å, c = 8.527 Å, α = 90.00°, β = 90.00° and γ = 90.00°. Symmetry generates all atoms from Cs at (0.000, 0.000, 0.000), In at (0.000, 0.500, 0.642), In at (0.500, 0.000, 0.501) and In at (0.500, 0.500, 0.298).

The value obtained for the energy relative to the elements is -1.5 kJ/mol of atoms. The value obtained for the density of states at the Fermi level is 0.54 states/eV/atom. The final energy comes out at -2.283 eV per atom. Its crystal system is orthorhombic.


11.
Entry from the Alexandria database: an optimized crystal structure of SrLiY2 (PBE).

It has space group R-3m (No. 166, hexagonal axes), with a = 3.6503 Å, b = 3.6503 Å, c = 35.0306 Å, α = 90.00°, β = 90.00° and γ = 120.00°. Symmetry generates all atoms from Sr at (0.0000, 0.0000, 0.0000), Li at (0.0000, 0.0000, 0.5000) and Y at (0.0000, 0.0000, 0.2401).

The value obtained for the energy relative to the elements is 25.1 kJ/mol of atoms. For the excess energy over the best structure of this formula in the dataset, the calculation gives 153.2 meV per atom. The value obtained for the density of states at the Fermi level is 1.75 states/eV/atom. The final energy comes out at -3.870 eV per atom. Its crystal system is trigonal.


Q: Which V values were calculated for the entries above? A: 682.5 669.9 196.9 119.6 645.3 2346.5 434.5 47.1 856.5 150.2 404.2, in Å³/cell.